[1]
Entry from Alexandria via LeMat-Bulk: a geometry-optimized Ac2AlZn12Cu3 structure (PBE).

The total energy is -108.30 eV for the cell shown. As for the density of states at the Fermi level: 0.5539 states/eV/atom.

It has space group R-3m (No. 166, hexagonal axes), with a = 8.3526 Å, b = 8.3526 Å, c = 19.7916 Å, α = 90.00°, β = 90.00° and γ = 120.00°. Symmetry generates all atoms from Ac at (0.0000, 0.0000, 0.1002), Al at (0.0000, 0.0000, 0.5000), Zn at (0.0093, 0.5046, 0.1268), Zn at (0.1090, 0.5545, 0.3906) and Cu at (0.0000, 0.5000, 0.0000).

[2]
Entry from Alexandria via LeMat-Bulk: a geometry-optimized AcAl2ZnCu structure (PBE).

The total energy is -37.29 eV for the cell shown. As for the density of states at the Fermi level: 0.5144 states/eV/atom.

It has space group I-4m2 (No. 119), with a = 4.508 Å, b = 4.508 Å, c = 10.315 Å, α = 90.00°, β = 90.00° and γ = 90.00°. Symmetry generates all atoms from Ac at (0.000, 0.000, 0.000), Al at (0.000, 0.000, 0.371), Zn at (0.000, 0.500, 0.250) and Cu at (0.000, 0.500, 0.750).

[3]
Entry from Alexandria via LeMat-Bulk: a geometry-optimized AcAlZnCu2 structure (PBE).

The total energy is -37.32 eV for the cell shown. As for the density of states at the Fermi level: 0.6866 states/eV/atom.

It has space group I-4m2 (No. 119), with a = 4.180 Å, b = 4.180 Å, c = 11.303 Å, α = 90.00°, β = 90.00° and γ = 90.00°. Symmetry generates all atoms from Ac at (0.000, 0.000, 0.000), Al at (0.000, 0.500, 0.250), Zn at (0.000, 0.500, 0.750) and Cu at (0.000, 0.000, 0.383).

[4]
Entry from Alexandria via LeMat-Bulk: a geometry-optimized Ac2Al3Zn4Cu structure (PBE).

The total energy is -31.86 eV for the cell shown. As for the density of states at the Fermi level: 0.5288 states/eV/atom.

It has space group P-4m2 (No. 115), with a = 4.491 Å, b = 4.491 Å, c = 10.456 Å, α = 90.00°, β = 90.00° and γ = 90.00°. Symmetry generates all atoms from Ac at (0.000, 0.500, 0.247), Al at (0.000, 0.000, 0.000), Al at (0.000, 0.500, 0.631), Zn at (0.000, 0.000, 0.500), Zn at (0.000, 0.500, 0.879), Zn at (0.500, 0.500, 0.500) and Cu at (0.500, 0.500, 0.000).

[5]
Entry from Alexandria via LeMat-Bulk: a geometry-optimized AcAlZn2Cu4 structure (PBE).

The total energy is -83.92 eV for the cell shown. As for the density of states at the Fermi level: 0.6032 states/eV/atom.

It has space group R-3m (No. 166, hexagonal axes), with a = 4.2079 Å, b = 4.2079 Å, c = 26.9645 Å, α = 90.00°, β = 90.00° and γ = 120.00°. Symmetry generates all atoms from Ac at (0.0000, 0.0000, 0.0000), Al at (0.0000, 0.0000, 0.5000), Zn at (0.0000, 0.0000, 0.2345), Cu at (0.0000, 0.0000, 0.1317) and Cu at (0.0000, 0.0000, 0.4097).

[6]
Entry from Alexandria via LeMat-Bulk: a geometry-optimized Ac2DyAl9 structure (PBE).

The total energy is -149.14 eV for the cell shown. As for the density of states at the Fermi level: 0.4519 states/eV/atom.

It has space group R-3m (No. 166, hexagonal axes), with a = 5.7747 Å, b = 5.7747 Å, c = 27.1950 Å, α = 90.00°, β = 90.00° and γ = 120.00°. Symmetry generates all atoms from Ac at (0.0000, 0.0000, 0.1409), Dy at (0.0000, 0.0000, 0.0000), Al at (0.0000, 0.0000, 0.3347), Al at (0.0000, 0.0000, 0.5000) and Al at (0.0057, 0.5029, 0.9212).

[7]
Entry from Alexandria via LeMat-Bulk: a geometry-optimized AcDyAl2 structure (PBE).

The total energy is -17.41 eV for the cell shown. As for the density of states at the Fermi level: 0.6179 states/eV/atom.

It has space group P4/mmm (No. 123), with a = 3.799 Å, b = 3.799 Å, c = 7.487 Å, α = 90.00°, β = 90.00° and γ = 90.00°. Symmetry generates all atoms from Ac at (0.000, 0.000, 0.000), Dy at (0.000, 0.000, 0.500) and Al at (0.500, 0.500, 0.287).

[8]
Entry from Alexandria via LeMat-Bulk: a geometry-optimized AcDyAl structure (PBE).

The value obtained for the excess energy over the best structure of this formula in the dataset is 0.000 eV/atom. As for the density of states at the Fermi level: 0.6612 states/eV/atom.

It has space group I4mm (No. 107), with a = 3.698 Å, b = 3.698 Å, c = 13.677 Å, α = 90.00°, β = 90.00° and γ = 90.00°. Symmetry generates all atoms from Ac at (0.000, 0.000, 0.000), Dy at (0.000, 0.000, 0.289) and Al at (0.000, 0.000, 0.664).

[9]
Entry from Alexandria via LeMat-Bulk: a geometry-optimized AcDyAl structure (PBE).

The value obtained for the excess energy over the best structure of this formula in the dataset is 0.025 eV/atom. As for the density of states at the Fermi level: 0.7415 states/eV/atom.

It has space group P-3m1 (No. 164), with a = 5.1631 Å, b = 5.1631 Å, c = 8.1247 Å, α = 90.00°, β = 90.00° and γ = 120.00°. Symmetry generates all atoms from Ac at (0.3333, 0.6667, 0.1293), Dy at (0.3333, 0.6667, 0.5942) and Al at (0.0000, 0.0000, 0.3279).

[10]
Entry from Alexandria via LeMat-Bulk: a geometry-optimized AcDy2Al9 structure (PBE).

The total energy is -154.74 eV for the cell shown. As for the density of states at the Fermi level: 0.4000 states/eV/atom.

It has space group R-3m (No. 166, hexagonal axes), with a = 5.6838 Å, b = 5.6838 Å, c = 26.4140 Å, α = 90.00°, β = 90.00° and γ = 120.00°. Symmetry generates all atoms from Ac at (0.0000, 0.0000, 0.0000), Dy at (0.0000, 0.0000, 0.1418), Al at (0.0000, 0.0000, 0.3362), Al at (0.0000, 0.0000, 0.5000) and Al at (0.0084, 0.5042, 0.9152).

[11]
Entry from Alexandria via LeMat-Bulk: a geometry-optimized AcDyAl structure (PBE).

The value obtained for the excess energy over the best structure of this formula in the dataset is 0.082 eV/atom. As for the density of states at the Fermi level: 0.7350 states/eV/atom.

It has space group P3m1 (No. 156), with a = 5.2719 Å, b = 5.2719 Å, c = 3.9353 Å, α = 90.00°, β = 90.00° and γ = 120.00°. Symmetry generates all atoms from Ac at (0.0000, 0.0000, 0.0000), Dy at (0.3333, 0.6667, 0.5321) and Al at (0.6667, 0.3333, 0.4279).

[12]
Entry from Alexandria via LeMat-Bulk: a geometry-optimized AcDy5Al4 structure (PBE).

The total energy is -45.08 eV for the cell shown. As for the density of states at the Fermi level: 0.6714 states/eV/atom.

It has space group P4/mmm (No. 123), with a = 3.612 Å, b = 3.612 Å, c = 19.994 Å, α = 90.00°, β = 90.00° and γ = 90.00°. Symmetry generates all atoms from Ac at (0.000, 0.000, 0.000), Dy at (0.500, 0.500, 0.141), Dy at (0.500, 0.500, 0.321), Dy at (0.500, 0.500, 0.500), Al at (0.000, 0.000, 0.230) and Al at (0.000, 0.000, 0.410).

[13]
Entry from Alexandria via LeMat-Bulk: a geometry-optimized AcDyAl2 structure (PBE).

The total energy is -48.96 eV for the cell shown. As for the density of states at the Fermi level: 0.6682 states/eV/atom.

It has space group R-3m (No. 166, hexagonal axes), with a = 3.7790 Å, b = 3.7790 Å, c = 28.6032 Å, α = 90.00°, β = 90.00° and γ = 120.00°. Symmetry generates all atoms from Ac at (0.0000, 0.0000, 0.0000), Dy at (0.0000, 0.0000, 0.5000) and Al at (0.0000, 0.0000, 0.2439).

[14]
Entry from Alexandria via LeMat-Bulk: a geometry-optimized AcDyAl structure (PBE).

The value obtained for the excess energy over the best structure of this formula in the dataset is 0.158 eV/atom. As for the density of states at the Fermi level: 0.9626 states/eV/atom.

It has space group I4/mmm (No. 139), with a = 11.736 Å, b = 11.736 Å, c = 5.751 Å, α = 90.00°, β = 90.00° and γ = 90.00°. Symmetry generates all atoms from Ac at (0.000, 0.240, 0.000), Dy at (0.190, 0.190, 0.500) and Al at (0.000, 0.387, 0.500).

[15]
Entry from Alexandria via LeMat-Bulk: a geometry-optimized Ac2DyAl3Ga12 structure (PBE).

The total energy is -188.50 eV for the cell shown. As for the density of states at the Fermi level: 0.5154 states/eV/atom.

It has space group R-3m (No. 166, hexagonal axes), with a = 6.8395 Å, b = 6.8395 Å, c = 30.4152 Å, α = 90.00°, β = 90.00° and γ = 120.00°. Symmetry generates all atoms from Ac at (0.0000, 0.0000, 0.1373), Dy at (0.0000, 0.0000, 0.5000), Al at (0.0000, 0.5000, 0.0000), Ga at (0.0448, 0.5224, 0.8994) and Ga at (0.0649, 0.5324, 0.6226).

[16]
Entry from Alexandria via LeMat-Bulk: a geometry-optimized AcDyAlGa2 structure (PBE).

The total energy is -42.03 eV for the cell shown. As for the density of states at the Fermi level: 0.7450 states/eV/atom.

It has space group I-4m2 (No. 119), with a = 4.563 Å, b = 4.563 Å, c = 12.148 Å, α = 90.00°, β = 90.00° and γ = 90.00°. Symmetry generates all atoms from Ac at (0.000, 0.000, 0.000), Dy at (0.000, 0.500, 0.750), Al at (0.000, 0.500, 0.250) and Ga at (0.000, 0.000, 0.395).

[17]
Entry from Alexandria via LeMat-Bulk: a geometry-optimized AcDyAl2Ge structure (PBE).

The total energy is -46.63 eV for the cell shown. As for the density of states at the Fermi level: 0.3624 states/eV/atom.

It has space group Imm2 (No. 44), with a = 4.457 Å, b = 4.608 Å, c = 12.441 Å, α = 90.00°, β = 90.00° and γ = 90.00°. Symmetry generates all atoms from Ac at (0.000, 0.000, 0.000), Dy at (0.000, 0.500, 0.757), Al at (0.000, 0.000, 0.609), Al at (0.000, 0.500, 0.240) and Ge at (0.000, 0.000, 0.401).

[18]
Entry from Alexandria via LeMat-Bulk: a geometry-optimized AcDyAlGe structure (PBE).

The value obtained for the excess energy over the best structure of this formula in the dataset is 0.000 eV/atom. As for the density of states at the Fermi level: 0.7071 states/eV/atom.

It has space group Amm2 (No. 38), with a = 4.175 Å, b = 4.566 Å, c = 11.639 Å, α = 90.00°, β = 90.00° and γ = 90.00°. Symmetry generates all atoms from Ac at (0.000, 0.000, 0.000), Dy at (0.500, 0.000, 0.722), Al at (0.000, 0.000, 0.280) and Ge at (0.500, 0.000, 0.419).

[19]
Entry from Alexandria via LeMat-Bulk: a geometry-optimized AcDyAl2Ge2 structure (PBE).

The total energy is -29.00 eV for the cell shown. As for the density of states at the Fermi level: 0.2503 states/eV/atom.

It has space group P-3m1 (No. 164), with a = 4.2704 Å, b = 4.2704 Å, c = 8.9084 Å, α = 90.00°, β = 90.00° and γ = 120.00°. Symmetry generates all atoms from Ac at (0.0000, 0.0000, 0.0000), Dy at (0.0000, 0.0000, 0.5000), Al at (0.3333, 0.6667, 0.7494) and Ge at (0.3333, 0.6667, 0.2933).

[20]
Entry from Alexandria via LeMat-Bulk: a geometry-optimized AcDyAlGe structure (PBE).

The value obtained for the excess energy over the best structure of this formula in the dataset is 0.205 eV/atom. As for the density of states at the Fermi level: 0.6792 states/eV/atom.

It has space group F-43m (No. 216), with a = 7.544 Å, b = 7.544 Å, c = 7.544 Å, α = 90.00°, β = 90.00° and γ = 90.00°. Symmetry generates all atoms from Ac at (0.000, 0.000, 0.000), Dy at (0.000, 0.000, 0.500), Al at (0.250, 0.250, 0.750) and Ge at (0.250, 0.250, 0.250).